Record 1
# Ca4IrOs PBE optimized geometry
data_Ca4IrOs
_symmetry_space_group_name_H-M 'F -4 3 m'
_symmetry_Int_Tables_number 216
_symmetry_space_group_name_Hall 'F -4 2 3'
_cell_length_a 8.2051
_cell_length_b 8.2051
_cell_length_c 8.2051
_cell_angle_alpha 90.00
_cell_angle_beta 90.00
_cell_angle_gamma 90.00
loop_
_atom_site_label
_atom_site_type_symbol
_atom_site_fract_x
_atom_site_fract_y
_atom_site_fract_z
_atom_site_occupancy
Ca1 Ca 0.1249 0.1249 0.1249 1
Ir1 Ir 0.2500 0.2500 0.7500 1
Os1 Os 0.0000 0.0000 0.5000 1
# Electronic total energy, eV/cell: -84.53
# Mass density, Mg/m³: 6.53
# Formation energy from the elements, meV/atom: 1161

=====

Record 2
# Rb6TeI2Br2 PBE optimized geometry
data_Rb6TeI2Br2
_symmetry_space_group_name_H-M 'C 1 2/m 1'
_symmetry_Int_Tables_number 12
_symmetry_space_group_name_Hall '-C 2y'
_cell_length_a 8.9816
_cell_length_b 15.5734
_cell_length_c 9.1048
_cell_angle_alpha 90.00
_cell_angle_beta 110.09
_cell_angle_gamma 90.00
loop_
_atom_site_label
_atom_site_type_symbol
_atom_site_fract_x
_atom_site_fract_y
_atom_site_fract_z
_atom_site_occupancy
Rb1 Rb 0.2256 0.1758 0.2142 1
Rb2 Rb 0.2401 0.0000 0.7739 1
Te1 Te 0.0000 0.0000 0.0000 1
I1 I 0.0000 0.1732 0.5000 1
Br1 Br 0.0000 0.3418 0.0000 1
# Electronic total energy, eV/cell: -61.72
# Mass density, Mg/m³: 2.93

=====

Record 3
# UGe2I8 PBE optimized geometry
data_UGe2I8
_symmetry_space_group_name_H-M 'C 1 2/m 1'
_symmetry_Int_Tables_number 12
_symmetry_space_group_name_Hall '-C 2y'
_cell_length_a 12.8051
_cell_length_b 11.5609
_cell_length_c 8.2359
_cell_angle_alpha 90.00
_cell_angle_beta 106.29
_cell_angle_gamma 90.00
loop_
_atom_site_label
_atom_site_type_symbol
_atom_site_fract_x
_atom_site_fract_y
_atom_site_fract_z
_atom_site_occupancy
U1 U 0.0000 0.0000 0.0000 1
Ge1 Ge 0.1615 0.0000 0.6103 1
I1 I 0.0777 0.1796 0.7897 1
I2 I 0.1339 0.5000 0.2165 1
I3 I 0.2199 0.0000 0.2506 1
# Electronic total energy, eV/cell: -76.58
# Energy above the most stable polymorph in this dataset, meV/atom: 0
# Mass density, Mg/m³: 3.97

=====

Record 4
# Tb2IrN PBE optimized geometry
data_Tb2IrN
_symmetry_space_group_name_H-M 'R -3 m'
_symmetry_Int_Tables_number 166
_symmetry_space_group_name_Hall '-R 3 2"'
_cell_length_a 3.4974
_cell_length_b 3.4974
_cell_length_c 20.8562
_cell_angle_alpha 90.00
_cell_angle_beta 90.00
_cell_angle_gamma 120.00
loop_
_atom_site_label
_atom_site_type_symbol
_atom_site_fract_x
_atom_site_fract_y
_atom_site_fract_z
_atom_site_occupancy
Tb1 Tb 0.0000 0.0000 0.2344 1
Ir1 Ir 0.0000 0.0000 0.0000 1
N1 N 0.0000 0.0000 0.5000 1
# Electronic total energy, eV/cell: -90.27
# Mass density, Mg/m³: 11.82

=====

Record 5
# KGa2AsI PBE optimized geometry
data_KGa2AsI
_symmetry_space_group_name_H-M 'P 4/m m m'
_symmetry_Int_Tables_number 123
_symmetry_space_group_name_Hall '-P 4 2'
_cell_length_a 6.3682
_cell_length_b 6.3682
_cell_length_c 5.5832
_cell_angle_alpha 90.00
_cell_angle_beta 90.00
_cell_angle_gamma 90.00
loop_
_atom_site_label
_atom_site_type_symbol
_atom_site_fract_x
_atom_site_fract_y
_atom_site_fract_z
_atom_site_occupancy
K1 K 0.0000 0.0000 0.0000 1
Ga1 Ga 0.0000 0.5000 0.0000 1
As1 As 0.0000 0.0000 0.5000 1
I1 I 0.5000 0.5000 0.5000 1
# Electronic total energy, eV/cell: -9.30
# Mass density, Mg/m³: 2.79

=====

Record 6
# TiCd2Pd3 PBE optimized geometry
data_TiCd2Pd3
_symmetry_space_group_name_H-M 'P 1 2/m 1'
_symmetry_Int_Tables_number 10
_symmetry_space_group_name_Hall '-P 2y'
_cell_length_a 4.5361
_cell_length_b 6.5893
_cell_length_c 7.1844
_cell_angle_alpha 90.00
_cell_angle_beta 107.73
_cell_angle_gamma 90.00
loop_
_atom_site_label
_atom_site_type_symbol
_atom_site_fract_x
_atom_site_fract_y
_atom_site_fract_z
_atom_site_occupancy
Ti1 Ti 0.1619 0.0000 0.3220 1
Cd1 Cd 0.1699 0.5000 0.3375 1
Cd2 Cd 0.5000 0.0000 0.0000 1
Cd3 Cd 0.5000 0.5000 0.0000 1
Pd1 Pd 0.0000 0.2454 0.0000 1
Pd2 Pd 0.3230 0.2209 0.6487 1
# Electronic total energy, eV/cell: -56.21
# Mass density, Mg/m³: 9.61
# Formation energy from the elements, meV/atom: -467